1.
Ho2ErPaRu2 | PBE-GGA | optimized geometry

a b c (Å): 8.305 8.305 8.305
angles (deg): 131.94 69.85 132.54
Element x y z (fractional)
Ho1 0.195 0.205 0.399
Ho2 0.305 0.705 0.010
Ho3 0.695 0.295 0.990
Ho4 0.805 0.795 0.601
Er1 0.250 0.750 0.500
Er2 0.750 0.250 0.500
Pa1 0.250 0.250 0.000
Pa2 0.750 0.750 0.000
Ru1 0.104 0.793 0.897
Ru2 0.396 0.293 0.689
Ru3 0.604 0.707 0.311
Ru4 0.896 0.207 0.103

Calculated values
N(E_F) (states/eV/f.u.): 5.700
Space group: Ibam, No. 72
Magnetic moment (μB/f.u.): 0.0
Energy (eV per cell): -87.149



2.
Sr2LiZn | PBE-GGA | optimized geometry

a b c (Å): 8.415 4.199 8.907
angles (deg): 90.00 102.08 90.00
Element x y z (fractional)
Sr1 0.237 0.000 0.220
Sr2 0.263 0.500 0.780
Sr3 0.737 0.500 0.220
Sr4 0.763 0.000 0.780
Li1 0.000 0.000 0.500
Li2 0.500 0.500 0.500
Zn1 0.000 0.500 0.000
Zn2 0.500 0.000 0.000

Calculated values
N(E_F) (states/eV/f.u.): 3.680
Space group: C2/m, No. 12
Magnetic moment (μB/f.u.): 0.0
Energy (eV per cell): -12.582



Please write out number 1 again, unchanged.
Ho2ErPaRu2 | PBE-GGA | optimized geometry

a b c (Å): 8.305 8.305 8.305
angles (deg): 131.94 69.85 132.54
Element x y z (fractional)
Ho1 0.195 0.205 0.399
Ho2 0.305 0.705 0.010
Ho3 0.695 0.295 0.990
Ho4 0.805 0.795 0.601
Er1 0.250 0.750 0.500
Er2 0.750 0.250 0.500
Pa1 0.250 0.250 0.000
Pa2 0.750 0.750 0.000
Ru1 0.104 0.793 0.897
Ru2 0.396 0.293 0.689
Ru3 0.604 0.707 0.311
Ru4 0.896 0.207 0.103

Calculated values
N(E_F) (states/eV/f.u.): 5.700
Space group: Ibam, No. 72
Magnetic moment (μB/f.u.): 0.0
Energy (eV per cell): -87.149



Question: The lowest N(E_F) belongs to which entry?
Answer: Sr2LiZn



What did the second record say?
Sr2LiZn | PBE-GGA | optimized geometry

a b c (Å): 8.415 4.199 8.907
angles (deg): 90.00 102.08 90.00
Element x y z (fractional)
Sr1 0.237 0.000 0.220
Sr2 0.263 0.500 0.780
Sr3 0.737 0.500 0.220
Sr4 0.763 0.000 0.780
Li1 0.000 0.000 0.500
Li2 0.500 0.500 0.500
Zn1 0.000 0.500 0.000
Zn2 0.500 0.000 0.000

Calculated values
N(E_F) (states/eV/f.u.): 3.680
Space group: C2/m, No. 12
Magnetic moment (μB/f.u.): 0.0
Energy (eV per cell): -12.582